DFT (PBE-GGA) results for InCuSn3 after structural relaxation.

Output
* total energy: -17.73 eV/f.u.
* DFT formation energy: 1.11 eV/f.u.

a = 5.157 Å, b = 5.157 Å, c = 5.157 Å
α = 90.00°, β = 90.00°, γ = 90.00°
Space group Pm-3m (No. 221)
Asymmetric unit:
In1 0.000 0.000 0.000 [1 per cell]
Cu1 0.500 0.500 0.500 [1 per cell]
Sn1 0.000 0.500 0.500 [3 per cell]

---

DFT (PBE-GGA) results for Sr2InCu4Sn3 after structural relaxation.

Output
* total energy: -37.61 eV/f.u.
* DFT formation energy: -3.11 eV/f.u.

a = 4.590 Å, b = 4.590 Å, c = 10.760 Å
α = 90.00°, β = 90.00°, γ = 90.00°
Space group P-4m2 (No. 115)
Asymmetric unit:
Sr1 0.000 0.500 0.239 [2 per cell]
In1 0.000 0.000 0.500 [1 per cell]
Cu1 0.000 0.000 0.000 [1 per cell]
Cu2 0.000 0.500 0.635 [2 per cell]
Cu3 0.500 0.500 0.000 [1 per cell]
Sn1 0.000 0.500 0.877 [2 per cell]
Sn2 0.500 0.500 0.500 [1 per cell]

---

DFT (PBE-GGA) results for Sr2InCu3Sn4 after structural relaxation.

Output
* total energy: -37.67 eV/f.u.
* DFT formation energy: -3.27 eV/f.u.

a = 4.582 Å, b = 4.582 Å, c = 11.565 Å
α = 90.00°, β = 90.00°, γ = 90.00°
Space group P-4m2 (No. 115)
Asymmetric unit:
Sr1 0.000 0.500 0.243 [2 per cell]
In1 0.000 0.000 0.500 [1 per cell]
Cu1 0.000 0.500 0.872 [2 per cell]
Cu2 0.500 0.500 0.500 [1 per cell]
Sn1 0.000 0.000 0.000 [1 per cell]
Sn2 0.000 0.500 0.648 [2 per cell]
Sn3 0.500 0.500 0.000 [1 per cell]

---

DFT (PBE-GGA) results for InCuSn2Te after structural relaxation.

Output
* total energy: -17.61 eV/f.u.
* raw formation energy: 0.074 eV per atom

a = 5.155 Å, b = 5.155 Å, c = 5.154 Å
α = 90.00°, β = 90.00°, γ = 90.00°
Space group P4/mmm (No. 123)
Asymmetric unit:
In1 0.000 0.000 0.000 [1 per cell]
Cu1 0.000 0.000 0.500 [1 per cell]
Sn1 0.000 0.500 0.500 [2 per cell]
Te1 0.500 0.500 0.000 [1 per cell]

---

DFT (PBE-GGA) results for TiInCu2Sn after structural relaxation.

Output
* total energy: -19.04 eV/f.u.
* DFT formation energy: 3.79 eV/f.u.

a = 4.710 Å, b = 4.710 Å, c = 5.259 Å
α = 90.00°, β = 90.00°, γ = 90.00°
Space group P4/mmm (No. 123)
Asymmetric unit:
Ti1 0.000 0.000 0.000 [1 per cell]
In1 0.000 0.000 0.500 [1 per cell]
Cu1 0.000 0.500 0.500 [2 per cell]
Sn1 0.500 0.500 0.000 [1 per cell]

---

DFT (PBE-GGA) results for TiIn2CuSn after structural relaxation.

Output
* total energy: -16.21 eV/f.u.
* DFT formation energy: 5.26 eV/f.u.

a = 5.575 Å, b = 5.575 Å, c = 5.313 Å
α = 90.00°, β = 90.00°, γ = 90.00°
Space group P4/mmm (No. 123)
Asymmetric unit:
Ti1 0.000 0.000 0.000 [1 per cell]
In1 0.000 0.500 0.500 [2 per cell]
Cu1 0.500 0.500 0.000 [1 per cell]
Sn1 0.000 0.000 0.500 [1 per cell]

---

DFT (PBE-GGA) results for TlInCuSn2 after structural relaxation.

Output
* total energy: -16.31 eV/f.u.
* DFT formation energy: 0.90 eV/f.u.

a = 5.221 Å, b = 5.221 Å, c = 5.122 Å
α = 90.00°, β = 90.00°, γ = 90.00°
Space group P4/mmm (No. 123)
Asymmetric unit:
Tl1 0.000 0.000 0.000 [1 per cell]
In1 0.500 0.500 0.000 [1 per cell]
Cu1 0.500 0.500 0.500 [1 per cell]
Sn1 0.000 0.500 0.500 [2 per cell]

---

DFT (PBE-GGA) results for TlIn2CuSn after structural relaxation.

Output
* total energy: -15.26 eV/f.u.
* DFT formation energy: 0.68 eV/f.u.

a = 5.214 Å, b = 5.214 Å, c = 5.117 Å
α = 90.00°, β = 90.00°, γ = 90.00°
Space group P4/mmm (No. 123)
Asymmetric unit:
Tl1 0.000 0.000 0.000 [1 per cell]
In1 0.000 0.500 0.500 [2 per cell]
Cu1 0.500 0.500 0.500 [1 per cell]
Sn1 0.500 0.500 0.000 [1 per cell]

---

DFT (PBE-GGA) results for VInCu2Sn after structural relaxation.

Output
* total energy: -17.36 eV/f.u.
* DFT formation energy: 6.70 eV/f.u.

a = 4.685 Å, b = 4.685 Å, c = 5.591 Å
α = 90.00°, β = 90.00°, γ = 90.00°
Space group P4/mmm (No. 123)
Asymmetric unit:
V1 0.000 0.000 0.000 [1 per cell]
In1 0.500 0.500 0.000 [1 per cell]
Cu1 0.000 0.500 0.500 [2 per cell]
Sn1 0.500 0.500 0.500 [1 per cell]

---

DFT (PBE-GGA) results for ZnIn2CuSn after structural relaxation.

Output
* total energy: -11.92 eV/f.u.
* DFT formation energy: 2.93 eV/f.u.

a = 5.055 Å, b = 5.055 Å, c = 5.251 Å
α = 90.00°, β = 90.00°, γ = 90.00°
Space group P4/mmm (No. 123)
Asymmetric unit:
Zn1 0.000 0.000 0.000 [1 per cell]
In1 0.000 0.500 0.000 [2 per cell]
Cu1 0.500 0.500 0.500 [1 per cell]
Sn1 0.000 0.000 0.500 [1 per cell]

---

DFT (PBE-GGA) results for ZnIn2Cu7Sn2 after structural relaxation.

Output
* total energy: -42.30 eV/f.u.
* DFT formation energy: 1.13 eV/f.u.

a = 5.258 Å, b = 5.213 Å, c = 15.162 Å
α = 90.00°, β = 96.69°, γ = 90.00°
Space group C2/m (No. 12)
Asymmetric unit:
Zn1 0.000 0.000 0.000 [2 per cell]
In1 0.079 0.500 0.257 [4 per cell]
Cu1 0.000 0.500 0.000 [2 per cell]
Cu2 0.156 0.500 0.443 [4 per cell]
Cu3 0.213 0.249 0.878 [8 per cell]
Sn1 0.133 0.000 0.386 [4 per cell]

---

DFT (PBE-GGA) results for Sr2In3Cu after structural relaxation.

Output
* total energy: -17.78 eV/f.u.
* DFT formation energy: -2.11 eV/f.u.

a = 11.619 Å, b = 4.927 Å, c = 7.990 Å
α = 90.00°, β = 132.31°, γ = 90.00°
Space group Cm (No. 8)
Asymmetric unit:
Sr1 0.000 0.000 0.000 [2 per cell]
Sr2 0.099 0.000 0.593 [2 per cell]
In1 0.187 0.500 0.975 [2 per cell]
In2 0.230 0.500 0.413 [2 per cell]
In3 0.383 0.000 0.203 [2 per cell]
Cu1 0.378 0.000 0.564 [2 per cell]

---

DFT (PBE-GGA) results for Sr5InCu2 after structural relaxation.

Output
* total energy: -20.72 eV/f.u.
* DFT formation energy: -1.38 eV/f.u.

a = 8.452 Å, b = 8.452 Å, c = 15.773 Å
α = 90.00°, β = 90.00°, γ = 90.00°
Space group I4/mcm (No. 140)
Asymmetric unit:
Sr1 0.000 0.000 0.000 [4 per cell]
Sr2 0.172 0.328 0.140 [16 per cell]
In1 0.000 0.000 0.250 [4 per cell]
Cu1 0.106 0.394 0.500 [8 per cell]

---

DFT (PBE-GGA) results for SrInCu after structural relaxation.

Output
* total energy: -9.23 eV/f.u.
* DFT formation energy: -0.71 eV/f.u.

a = 4.7036 Å, b = 4.7036 Å, c = 4.2371 Å
α = 90.00°, β = 90.00°, γ = 120.00°
Space group P-6m2 (No. 187)
Asymmetric unit:
Sr1 0.0000 0.0000 0.0000 [1 per cell]
In1 0.6667 0.3333 0.5000 [1 per cell]
Cu1 0.3333 0.6667 0.5000 [1 per cell]

---

DFT (PBE-GGA) results for Sr8In2Cu after structural relaxation.

Output
* total energy: -24.80 eV/f.u.
* DFT formation energy: -1.77 eV/f.u.

a = 20.418 Å, b = 5.795 Å, c = 7.865 Å
α = 90.00°, β = 107.60°, γ = 90.00°
Space group C2/m (No. 12)
Asymmetric unit:
Sr1 0.027 0.000 0.291 [4 per cell]
Sr2 0.095 0.500 0.933 [4 per cell]
Sr3 0.158 0.500 0.458 [4 per cell]
Sr4 0.208 0.000 0.803 [4 per cell]
In1 0.183 0.000 0.212 [4 per cell]
Cu1 0.000 0.500 0.500 [2 per cell]

---

DFT (PBE-GGA) results for SrInCu after structural relaxation.

Output
* total energy: -8.84 eV/f.u.
* DFT formation energy: -0.33 eV/f.u.

a = 3.690 Å, b = 3.690 Å, c = 11.358 Å
α = 90.00°, β = 90.00°, γ = 90.00°
Space group I4mm (No. 107)
Asymmetric unit:
Sr1 0.000 0.000 0.000 [2 per cell]
In1 0.000 0.000 0.709 [2 per cell]
Cu1 0.000 0.000 0.304 [2 per cell]

---

DFT (PBE-GGA) results for SrIn4Cu4 after structural relaxation.

Output
* total energy: -29.31 eV/f.u.
* DFT formation energy: -0.29 eV/f.u.

a = 8.907 Å, b = 8.907 Å, c = 5.218 Å
α = 90.00°, β = 90.00°, γ = 90.00°
Space group P4_2/n (No. 86, origin choice 2)
Asymmetric unit:
Sr1 0.250 0.250 0.250 [2 per cell]
In1 0.116 0.626 0.149 [8 per cell]
Cu1 0.072 0.924 0.149 [8 per cell]

---

DFT (PBE-GGA) results for SrIn3Cu8 after structural relaxation.

Output
* total energy: -42.84 eV/f.u.
* DFT formation energy: -0.17 eV/f.u.

a = 5.1411 Å, b = 5.1411 Å, c = 8.5783 Å
α = 90.00°, β = 90.00°, γ = 120.00°
Space group P3m1 (No. 156)
Asymmetric unit:
Sr1 0.0000 0.0000 0.0000 [1 per cell]
In1 0.0000 0.0000 0.3793 [1 per cell]
In2 0.6667 0.3333 0.4884 [1 per cell]
In3 0.6667 0.3333 0.8480 [1 per cell]
Cu1 0.1665 0.3331 0.6735 [3 per cell]
Cu2 0.3333 0.6667 0.4310 [1 per cell]
Cu3 0.3333 0.6667 0.9230 [1 per cell]
Cu4 0.5004 0.0008 0.1930 [3 per cell]

---

DFT (PBE-GGA) results for SrIn4Cu after structural relaxation.

Output
* total energy: -16.24 eV/f.u.
* DFT formation energy: 0.50 eV/f.u.

a = 8.720 Å, b = 8.720 Å, c = 8.720 Å
α = 90.00°, β = 90.00°, γ = 90.00°
Space group F-43m (No. 216)
Asymmetric unit:
Sr1 0.000 0.000 0.000 [4 per cell]
In1 0.125 0.125 0.375 [16 per cell]
Cu1 0.250 0.250 0.750 [4 per cell]

---

DFT (PBE-GGA) results for Sr2In12Cu7 after structural relaxation.

Output
* total energy: -67.05 eV/f.u.
* DFT formation energy: -2.16 eV/f.u.

a = 11.0021 Å, b = 11.0021 Å, c = 4.4166 Å
α = 90.00°, β = 90.00°, γ = 120.00°
Space group P-3 (No. 147)
Asymmetric unit:
Sr1 0.3333 0.6667 0.2577 [2 per cell]
In1 0.0574 0.4400 0.7496 [6 per cell]
In2 0.1167 0.2615 0.2500 [6 per cell]
Cu1 0.0000 0.0000 0.5000 [1 per cell]
Cu2 0.1193 0.7101 0.7577 [6 per cell]

---

DFT (PBE-GGA) results for Sr3InCu after structural relaxation.

Output
* total energy: -11.95 eV/f.u.
* DFT formation energy: -0.07 eV/f.u.

a = 5.852 Å, b = 5.852 Å, c = 5.852 Å
α = 90.00°, β = 90.00°, γ = 90.00°
Space group Pm-3m (No. 221)
Asymmetric unit:
Sr1 0.000 0.000 0.500 [3 per cell]
In1 0.500 0.500 0.500 [1 per cell]
Cu1 0.000 0.000 0.000 [1 per cell]

---

DFT (PBE-GGA) results for SrInCu after structural relaxation.

Output
* total energy: -9.30 eV/f.u.
* DFT formation energy: -0.79 eV/f.u.

a = 11.611 Å, b = 4.362 Å, c = 7.671 Å
α = 90.00°, β = 125.96°, γ = 90.00°
Space group C2/m (No. 12)
Asymmetric unit:
Sr1 0.071 0.000 0.314 [4 per cell]
In1 0.202 0.500 0.100 [4 per cell]
Cu1 0.128 0.500 0.677 [4 per cell]

---

DFT (PBE-GGA) results for SrInCu5 after structural relaxation.

Output
* total energy: -25.65 eV/f.u.
* DFT formation energy: -0.74 eV/f.u.

a = 8.514 Å, b = 5.209 Å, c = 10.640 Å
α = 90.00°, β = 90.00°, γ = 90.00°
Space group Pnma (No. 62)
Asymmetric unit:
Sr1 0.241 0.250 0.061 [4 per cell]
In1 0.141 0.750 0.862 [4 per cell]
Cu1 0.058 0.750 0.113 [4 per cell]
Cu2 0.067 0.000 0.314 [8 per cell]
Cu3 0.083 0.250 0.517 [4 per cell]
Cu4 0.182 0.250 0.745 [4 per cell]